# HfZrH3

HfZrH3 after structural relaxation (GGA-PBE, Alexandria).

**Polymorph energy (0 for the lowest one)**: 268 meV/atom
**ρ**: 8.67 g/cm3
**Total magnetization**: 0.00 μB per cell

Cell lengths 3.7378, 3.7378, 3.7378 Å; angles 90.00, 90.00, 90.00 degrees
Space group Pm-3m (No. 221)
One atom of each set of equivalent atoms:
Hf 0.0000 0.0000 0.0000 (multiplicity 1)
Zr 0.5000 0.5000 0.5000 (multiplicity 1)
H 0.0000 0.0000 0.5000 (multiplicity 3)

***

# Hf2Zr3H4

Hf2Zr3H4 after structural relaxation (GGA-PBE, Alexandria).

**ρ**: 8.50 g/cm3
**Total magnetization**: 0.00 μB per cell
**DFT total energy**: -6.7663 eV per atom

Cell lengths 8.5612, 10.7428, 5.6082 Å; angles 90.00, 105.87, 90.00 degrees
Space group C2/c (No. 15)
One atom of each set of equivalent atoms:
Hf 0.1965 0.1245 0.3340 (multiplicity 8)
Zr 0.0000 0.1306 0.7500 (multiplicity 4)
Zr 0.0820 0.3770 0.0383 (multiplicity 8)
H 0.1206 0.2488 0.5532 (multiplicity 8)
H 0.2023 0.0506 0.9833 (multiplicity 8)

***

# Hf2ZrH2

Hf2ZrH2 after structural relaxation (GGA-PBE, Alexandria).

**Polymorph energy (0 for the lowest one)**: 133 meV/atom
**ρ**: 9.85 g/cm3
**Total magnetization**: 0.00 μB per cell

Cell lengths 3.1684, 3.1046, 7.8743 Å; angles 90.00, 101.53, 90.00 degrees
Space group Pm (No. 6)
One atom of each set of equivalent atoms:
Hf 0.0000 0.0000 0.0000 (multiplicity 1)
Hf 0.3406 0.5000 0.6828 (multiplicity 1)
Zr 0.6637 0.5000 0.3260 (multiplicity 1)
H 0.0832 0.5000 0.1650 (multiplicity 1)
H 0.4205 0.0000 0.8403 (multiplicity 1)

***

# Hf2Zr5H12

Hf2Zr5H12 after structural relaxation (GGA-PBE, Alexandria).

**ρ**: 7.13 g/cm3
**Total magnetization**: 0.00 μB per cell
**DFT total energy**: -5.7499 eV per atom

Cell lengths 11.6645, 5.9675, 6.3593 Å; angles 90.00, 119.68, 90.00 degrees
Space group C2/m (No. 12)
One atom of each set of equivalent atoms:
Hf 0.0000 0.2468 0.0000 (multiplicity 4)
Zr 0.0000 0.0000 0.5000 (multiplicity 2)
Zr 0.2172 0.5000 0.8803 (multiplicity 4)
Zr 0.2370 0.5000 0.4198 (multiplicity 4)
H 0.0108 0.5000 0.7902 (multiplicity 4)
H 0.0758 0.0000 0.8871 (multiplicity 4)
H 0.1408 0.2805 0.5568 (multiplicity 8)
H 0.1907 0.2968 0.1068 (multiplicity 8)

***

# Hf2ZrH6

Hf2ZrH6 after structural relaxation (GGA-PBE, Alexandria).

**ρ**: 9.52 g/cm3
**Total magnetization**: 0.00 μB per cell
**DFT total energy**: -5.9298 eV per atom

Cell lengths 10.8264, 4.3798, 3.4755 Å; angles 90.00, 105.86, 90.00 degrees
Space group C2/m (No. 12)
One atom of each set of equivalent atoms:
Hf 0.1668 0.0000 0.1669 (multiplicity 4)
Zr 0.0000 0.5000 0.5000 (multiplicity 2)
H 0.0000 0.2447 0.0000 (multiplicity 4)
H 0.1688 0.2473 0.6692 (multiplicity 8)

***

# HfZrH3

HfZrH3 after structural relaxation (GGA-PBE, Alexandria).

**Polymorph energy (0 for the lowest one)**: 0 meV/atom
**ρ**: 8.74 g/cm3
**Total magnetization**: 0.00 μB per cell

Cell lengths 10.8792, 4.5494, 4.6199 Å; angles 90.00, 115.05, 90.00 degrees
Space group C2/m (No. 12)
One atom of each set of equivalent atoms:
Hf 0.1089 0.0000 0.3590 (multiplicity 4)
Zr 0.1160 0.5000 0.8660 (multiplicity 4)
H 0.0885 0.5000 0.3371 (multiplicity 4)
H 0.2501 0.2499 0.2617 (multiplicity 8)

***

# HfZr2H4

HfZr2H4 after structural relaxation (GGA-PBE, Alexandria).

**ρ**: 7.58 g/cm3
**Total magnetization**: 0.00 μB per cell
**DFT total energy**: -6.1642 eV per atom

Cell lengths 8.6166, 8.6166, 8.6166 Å; angles 90.00, 90.00, 90.00 degrees
Space group Fd-3m (No. 227, origin choice 2)
One atom of each set of equivalent atoms:
Hf 0.1250 0.1250 0.1250 (multiplicity 8)
Zr 0.0000 0.0000 0.5000 (multiplicity 16)
H 0.0106 0.0106 0.7394 (multiplicity 32)

***

# HfZr2H6

HfZr2H6 after structural relaxation (GGA-PBE, Alexandria).

**ρ**: 7.54 g/cm3
**Total magnetization**: 0.00 μB per cell
**DFT total energy**: -5.7971 eV per atom

Cell lengths 10.9195, 4.4111, 3.4984 Å; angles 90.00, 106.30, 90.00 degrees
Space group C2/m (No. 12)
One atom of each set of equivalent atoms:
Hf 0.0000 0.0000 0.0000 (multiplicity 2)
Zr 0.1665 0.5000 0.6663 (multiplicity 4)
H 0.0000 0.2444 0.5000 (multiplicity 4)
H 0.1645 0.2473 0.1642 (multiplicity 8)

***

Repeat the third record exactly.
# Hf2ZrH2

Hf2ZrH2 after structural relaxation (GGA-PBE, Alexandria).

**Polymorph energy (0 for the lowest one)**: 133 meV/atom
**ρ**: 9.85 g/cm3
**Total magnetization**: 0.00 μB per cell

Cell lengths 3.1684, 3.1046, 7.8743 Å; angles 90.00, 101.53, 90.00 degrees
Space group Pm (No. 6)
One atom of each set of equivalent atoms:
Hf 0.0000 0.0000 0.0000 (multiplicity 1)
Hf 0.3406 0.5000 0.6828 (multiplicity 1)
Zr 0.6637 0.5000 0.3260 (multiplicity 1)
H 0.0832 0.5000 0.1650 (multiplicity 1)
H 0.4205 0.0000 0.8403 (multiplicity 1)

***

What did the sixth record say?
# HfZrH3

HfZrH3 after structural relaxation (GGA-PBE, Alexandria).

**Polymorph energy (0 for the lowest one)**: 0 meV/atom
**ρ**: 8.74 g/cm3
**Total magnetization**: 0.00 μB per cell

Cell lengths 10.8792, 4.5494, 4.6199 Å; angles 90.00, 115.05, 90.00 degrees
Space group C2/m (No. 12)
One atom of each set of equivalent atoms:
Hf 0.1089 0.0000 0.3590 (multiplicity 4)
Zr 0.1160 0.5000 0.8660 (multiplicity 4)
H 0.0885 0.5000 0.3371 (multiplicity 4)
H 0.2501 0.2499 0.2617 (multiplicity 8)

***

Which value of ρ does entry 5 give? 9.52 g/cm3

***

What is the total magnetization in the third record? 0.00 μB per cell